A geometry-optimized BeSiSe structure. Source: the Alexandria database, functional PBE.

```
BeSiSe
1.0
13.471 0.000 0.000
0.000 4.673 0.000
-0.941 0.000 3.538
Be Si Se
4 4 4
direct
0.168 0.000 0.129
0.332 0.500 0.871
0.668 0.500 0.129
0.832 0.000 0.871
0.055 0.343 0.805
0.445 0.843 0.195
0.555 0.843 0.805
0.945 0.343 0.195
0.176 0.706 0.668
0.324 0.206 0.332
0.676 0.206 0.668
0.824 0.706 0.332
```

Output
Total moment = 0.0 μB/f.u.
Energy = -52.02 eV per cell
Energy above the lowest structure with this stoichiometry = 0.280 eV/atom
Formation energy (no corrections) = -124.1 meV per atom

=====

A geometry-optimized Ce2AgPt2 structure. Source: the Alexandria database, functional PBE.

```
Ce2AgPt2
1.0
7.784 0.000 0.000
0.000 7.784 0.000
0.000 0.000 3.763
Ce Ag Pt
4 2 4
direct
0.170 0.330 0.000
0.330 0.830 0.000
0.670 0.170 0.000
0.830 0.670 0.000
0.000 0.000 0.500
0.500 0.500 0.500
0.133 0.633 0.500
0.367 0.133 0.500
0.633 0.867 0.500
0.867 0.367 0.500
```

Output
Total moment = 1.3 μB/f.u.
N(E_F) = 10.960 states/eV/f.u.
Energy = -62.30 eV per cell
Formation energy from the elements = -869 meV/atom

=====

A geometry-optimized InGaSb2 structure. Source: the Alexandria database, functional PBE.

```
InGaSb2
1.0
4.536 0.000 0.000
0.000 4.536 0.000
0.000 0.000 6.440
In Ga Sb
1 1 2
direct
0.000 0.000 0.000
0.500 0.500 0.500
0.000 0.500 0.267
0.500 0.000 0.733
```

Output
Total moment = 0.0 μB/f.u.
N(E_F) = 0.132 states/eV/f.u.
Energy = -14.52 eV per cell
Energy above the lowest structure with this stoichiometry = 0.011 eV/atom
Formation energy (no corrections) = -126.7 meV per atom

=====

A geometry-optimized TaAlCu structure. Source: the Alexandria database, functional PBE.

```
TaAlCu
1.0
8.082 0.000 0.000
0.000 2.536 4.294
0.000 -2.536 4.294
Ta Al Cu
4 4 4
direct
0.183 0.000 0.000
0.311 0.674 0.674
0.689 0.674 0.674
0.817 0.000 0.000
0.238 0.333 0.333
0.500 0.174 0.690
0.500 0.690 0.174
0.762 0.333 0.333
0.000 0.508 0.508
0.000 0.509 0.988
0.000 0.988 0.509
0.500 0.177 0.177
```

Output
Total moment = 0.0 μB/f.u.
N(E_F) = 2.166 states/eV/f.u.
Energy = -81.67 eV per cell
Formation energy from the elements = -242 meV/atom

=====

A geometry-optimized PmSm2Y2 structure. Source: the Alexandria database, functional PBE.

```
PmSm2Y2
1.0
9.399 0.000 0.000
0.000 9.399 0.000
0.000 0.000 3.831
Pm Sm Y
2 4 4
direct
0.000 0.000 0.000
0.500 0.500 0.000
0.128 0.372 0.000
0.372 0.872 0.000
0.628 0.128 0.000
0.872 0.628 0.000
0.170 0.670 0.500
0.330 0.170 0.500
0.670 0.830 0.500
0.830 0.330 0.500
```

Output
Total moment = 0.0 μB/f.u.
N(E_F) = 4.889 states/eV/f.u.
Energy = -53.37 eV per cell
Energy above the lowest structure with this stoichiometry = 0.032 eV/atom
Formation energy from the elements = 86 meV/atom

=====

A geometry-optimized As2OsW structure. Source: the Alexandria database, functional PBE.

```
As2OsW
1.0
2.866 0.000 0.000
0.000 4.078 0.000
0.000 0.000 5.387
As Os W
2 1 1
direct
0.000 0.000 0.000
0.500 0.500 0.338
0.000 0.000 0.529
0.500 0.500 0.811
```

Output
Total moment = 0.0 μB/f.u.
N(E_F) = 2.751 states/eV/f.u.
Energy = -32.39 eV per cell
Energy above the lowest structure with this stoichiometry = 0.194 eV/atom
Formation energy from the elements = 272 meV/atom

=====

A geometry-optimized ScSb2Mo structure. Source: the Alexandria database, functional PBE.

```
ScSb2Mo
1.0
3.271 0.000 0.000
0.000 4.319 0.000
-1.094 0.000 5.962
Sc Sb Mo
1 2 1
direct
0.000 0.000 0.000
0.297 0.500 0.741
0.703 0.500 0.259
0.500 0.000 0.500
```

Output
Total moment = 0.0 μB/f.u.
N(E_F) = 3.343 states/eV/f.u.
Energy = -25.55 eV per cell
Energy above the lowest structure with this stoichiometry = 0.177 eV/atom
Formation energy (no corrections) = -34.7 meV per atom

=====

A geometry-optimized LiTm4Se5 structure. Source: the Alexandria database, functional PBE.

```
LiTm4Se5
1.0
-4.471 4.471 2.821
4.471 -4.471 2.821
4.471 4.471 -2.821
Li Tm Se
1 4 5
direct
0.000 0.000 0.000
0.198 0.598 0.799
0.399 0.198 0.600
0.598 0.799 0.400
0.799 0.399 0.201
0.095 0.291 0.389
0.291 0.902 0.196
0.499 0.499 0.000
0.706 0.095 0.804
0.902 0.706 0.611
```

Output
Total moment = 0.0 μB/f.u.
N(E_F) = 3.738 states/eV/f.u.
Energy = -54.12 eV per cell
Formation energy (no corrections) = -1689.3 meV per atom

=====

A geometry-optimized TcP2PtS structure. Source: the Alexandria database, functional PBE.

```
TcP2PtS
1.0
4.606 0.000 0.000
0.000 4.606 0.000
0.000 0.000 4.853
Tc P Pt S
1 2 1 1
direct
0.000 0.000 0.000
0.000 0.500 0.500
0.500 0.000 0.500
0.500 0.500 0.500
0.500 0.500 0.000
```

Output
Total moment = 2.8 μB/f.u.
N(E_F) = 4.202 states/eV/f.u.
Energy = -25.63 eV per cell
Energy above the lowest structure with this stoichiometry = 0.384 eV/atom
Formation energy (no corrections) = 1144.7 meV per atom

=====

A geometry-optimized GdMnCu4 structure. Source: the Alexandria database, functional PBE.

```
GdMnCu4
1.0
0.000 3.578 3.578
3.578 0.000 3.578
3.578 3.578 0.000
Gd Mn Cu
1 1 4
direct
0.000 0.000 0.000
0.750 0.750 0.750
0.376 0.376 0.376
0.376 0.376 0.871
0.376 0.871 0.376
0.871 0.376 0.376
```

Output
Total moment = 3.2 μB/f.u.
N(E_F) = 5.683 states/eV/f.u.
Energy = -39.95 eV per cell
Formation energy from the elements = -52 meV/atom

=====

A geometry-optimized K2Cd3InHg4 structure. Source: the Alexandria database, functional PBE.

```
K2Cd3InHg4
1.0
4.985 0.000 0.000
0.000 4.985 0.000
0.000 0.000 12.234
K Cd In Hg
2 3 1 4
direct
0.000 0.500 0.249
0.500 0.000 0.751
0.000 0.500 0.868
0.500 0.000 0.132
0.500 0.500 0.500
0.000 0.000 0.500
0.000 0.000 0.000
0.000 0.500 0.634
0.500 0.000 0.366
0.500 0.500 0.000
```

Output
Total moment = 0.0 μB/f.u.
N(E_F) = 4.364 states/eV/f.u.
Energy = -10.28 eV per cell
Formation energy from the elements = -139 meV/atom

=====

A geometry-optimized Fe5Pt4 structure. Source: the Alexandria database, functional PBE.

```
Fe5Pt4
1.0
-4.056 4.056 1.890
4.056 -4.056 1.890
4.056 4.056 -1.890
Fe Pt
5 4
direct
0.000 0.000 0.000
0.334 0.334 0.668
0.334 0.666 0.000
0.666 0.334 0.000
0.666 0.666 0.332
0.000 0.321 0.321
0.000 0.679 0.679
0.321 0.000 0.321
0.679 0.000 0.679
```

Output
Total moment = 15.3 μB/f.u.
N(E_F) = 7.723 states/eV/f.u.
Energy = -67.95 eV per cell
Energy above the lowest structure with this stoichiometry = 0.000 eV/atom
Formation energy from the elements = -164 meV/atom

=====

A geometry-optimized Tb2YS4 structure. Source: the Alexandria database, functional PBE.

```
Tb2YS4
1.0
1.908 -6.501 0.000
1.908 6.501 0.000
0.000 0.000 13.171
Tb Y S
4 2 8
direct
0.130 0.870 0.570
0.130 0.870 0.930
0.870 0.130 0.070
0.870 0.130 0.430
0.373 0.627 0.750
0.627 0.373 0.250
0.026 0.974 0.750
0.223 0.777 0.123
0.223 0.777 0.377
0.500 0.500 0.000
0.500 0.500 0.500
0.777 0.223 0.623
0.777 0.223 0.877
0.974 0.026 0.250
```

Output
Total moment = 0.0 μB/f.u.
N(E_F) = 2.047 states/eV/f.u.
Energy = -93.18 eV per cell
Energy above the lowest structure with this stoichiometry = 0.021 eV/atom
Formation energy (no corrections) = -2050.7 meV per atom

=====

A geometry-optimized YH11Rh5 structure. Source: the Alexandria database, functional PBE.

```
YH11Rh5
1.0
3.661 -3.891 0.000
3.661 3.891 0.000
-1.845 0.000 5.070
Y H Rh
1 11 5
direct
0.000 0.000 0.000
0.000 0.000 0.500
0.157 0.665 0.646
0.183 0.451 0.062
0.305 0.305 0.683
0.335 0.843 0.354
0.451 0.183 0.062
0.549 0.817 0.938
0.665 0.157 0.646
0.695 0.695 0.317
0.817 0.549 0.938
0.843 0.335 0.354
0.022 0.627 0.292
0.373 0.978 0.708
0.500 0.500 0.000
0.627 0.022 0.292
0.978 0.373 0.708
```

Output
Total moment = 0.0 μB/f.u.
N(E_F) = 4.597 states/eV/f.u.
Energy = -81.55 eV per cell

=====

A geometry-optimized Nb2AsPd2 structure. Source: the Alexandria database, functional PBE.

```
Nb2AsPd2
1.0
6.738 0.000 0.000
0.000 6.738 0.000
0.000 0.000 3.997
Nb As Pd
4 2 4
direct
0.151 0.349 0.000
0.349 0.849 0.000
0.651 0.151 0.000
0.849 0.651 0.000
0.000 0.000 0.000
0.500 0.500 0.000
0.141 0.641 0.500
0.359 0.141 0.500
0.641 0.859 0.500
0.859 0.359 0.500
```

Output
Total moment = 0.0 μB/f.u.
N(E_F) = 4.132 states/eV/f.u.
Energy = -71.71 eV per cell
Formation energy from the elements = -136 meV/atom

=====

A geometry-optimized LiSi2Au structure. Source: the Alexandria database, functional PBE.

```
LiSi2Au
1.0
2.782 0.000 0.000
0.000 2.782 0.000
0.000 0.000 8.039
Li Si Au
1 2 1
direct
0.000 0.000 0.000
0.000 0.000 0.480
0.500 0.500 0.246
0.500 0.500 0.758
```

Output
Total moment = 0.0 μB/f.u.
N(E_F) = 1.202 states/eV/f.u.
Energy = -15.74 eV per cell
Energy above the lowest structure with this stoichiometry = 0.175 eV/atom
Formation energy (no corrections) = 73.2 meV per atom

=====

A geometry-optimized TbNbGe2Ru structure. Source: the Alexandria database, functional PBE.

```
TbNbGe2Ru
1.0
4.071 0.000 0.000
0.000 4.071 0.000
0.000 0.000 11.397
Tb Nb Ge Ru
2 2 4 2
direct
0.000 0.000 0.000
0.500 0.500 0.500
0.000 0.500 0.250
0.500 0.000 0.750
0.000 0.000 0.390
0.000 0.000 0.610
0.500 0.500 0.110
0.500 0.500 0.890
0.000 0.500 0.750
0.500 0.000 0.250
```

Output
Total moment = 0.0 μB/f.u.
N(E_F) = 3.138 states/eV/f.u.
Energy = -71.92 eV per cell
Formation energy from the elements = -550 meV/atom

=====

A geometry-optimized Pm2BeB2Rh5 structure. Source: the Alexandria database, functional PBE.

```
Pm2BeB2Rh5
1.0
9.520 0.000 0.000
0.000 9.520 0.000
0.000 0.000 3.184
Pm Be B Rh
4 2 4 10
direct
0.177 0.323 0.000
0.323 0.823 0.000
0.677 0.177 0.000
0.823 0.677 0.000
0.000 0.000 0.000
0.500 0.500 0.000
0.123 0.623 0.000
0.377 0.123 0.000
0.623 0.877 0.000
0.877 0.377 0.000
0.000 0.500 0.500
0.067 0.785 0.500
0.215 0.067 0.500
0.285 0.567 0.500
0.433 0.285 0.500
0.500 0.000 0.500
0.567 0.715 0.500
0.715 0.433 0.500
0.785 0.933 0.500
0.933 0.215 0.500
```

Output
Total moment = 0.0 μB/f.u.
N(E_F) = 3.816 states/eV/f.u.
Energy = -138.39 eV per cell
Formation energy from the elements = -585 meV/atom

=====

A geometry-optimized AcPuHS2 structure. Source: the Alexandria database, functional PBE.

```
AcPuHS2
1.0
4.170 0.000 0.000
0.000 4.170 0.000
0.000 0.000 12.322
Ac Pu H S
2 2 2 4
direct
0.250 0.250 0.126
0.750 0.750 0.874
0.250 0.250 0.591
0.750 0.750 0.409
0.250 0.750 0.500
0.750 0.250 0.500
0.250 0.250 0.357
0.250 0.250 0.867
0.750 0.750 0.133
0.750 0.750 0.643
```

Output
Total moment = 5.3 μB/f.u.
N(E_F) = 9.833 states/eV/f.u.
Energy = -74.71 eV per cell

=====

A geometry-optimized LiCu2Rh4O8 structure. Source: the Alexandria database, functional PBE.

```
LiCu2Rh4O8
1.0
0.000 4.437 4.437
4.437 0.000 4.437
4.437 4.437 0.000
Li Cu Rh O
1 2 4 8
direct
0.000 0.000 0.000
0.500 0.500 0.500
0.750 0.750 0.750
0.132 0.132 0.132
0.132 0.132 0.604
0.132 0.604 0.132
0.604 0.132 0.132
0.345 0.885 0.885
0.363 0.363 0.363
0.363 0.363 0.910
0.363 0.910 0.363
0.885 0.345 0.885
0.885 0.885 0.345
0.885 0.885 0.885
0.910 0.363 0.363
```

Output
Total moment = 0.1 μB/f.u.
N(E_F) = 15.471 states/eV/f.u.
Energy = -85.98 eV per cell
Energy above the lowest structure with this stoichiometry = 0.253 eV/atom
Formation energy (no corrections) = -453.6 meV per atom